K2FeNiF6 | PBE with a Hubbard U | relaxed

The space group is I4/mmm (No. 139) and the conventional cell measures 5.869, 5.869 and 8.156 Å, with angles of 90.00, 90.00 and 90.00 degrees. Symmetry generates all atoms from K at (0.000, 0.500, 0.250), Fe at (0.000, 0.000, 0.000), Ni at (0.000, 0.000, 0.500), F at (0.000, 0.000, 0.250) and F at (0.244, 0.244, 0.500).

As for the magnetization: 6.0 μB per formula unit. For the density of states at the Fermi level, the calculation gives 0.000 states/eV/atom. The total energy comes out at -4.721 eV per atom.